Compound: Mg2BiTe2
Source: Alexandria via LeMat-Bulk
Functional: PBE
Structure: relaxed

Properties
* offset from the most stable computed form: 0 meV/atom
* raw formation energy: -0.2712 eV/atom
* E: -29.4 eV per cell

Lattice parameters (Å, degrees): 8.257 8.257 3.890 90.00 90.00 90.00
Fractional coordinates of all 10 atoms:
Mg: 0.137 0.363 0.000
Mg: 0.363 0.863 0.000
Mg: 0.637 0.137 0.000
Mg: 0.863 0.637 0.000
Bi: 0.000 0.000 0.000
Bi: 0.500 0.500 0.000
Te: 0.162 0.662 0.500
Te: 0.338 0.162 0.500
Te: 0.662 0.838 0.500
Te: 0.838 0.338 0.500

---

Compound: MgBiTe2
Source: Alexandria via LeMat-Bulk
Functional: PBE
Structure: relaxed

Properties
* offset from the most stable computed form: 273 meV/atom
* raw formation energy: -0.1050 eV/atom
* E: -12.2 eV per cell

Lattice parameters (Å, degrees): 5.432 5.432 5.432 60.00 60.00 60.00
Fractional coordinates of all 4 atoms:
Mg: 0.000 0.000 0.000
Bi: 0.500 0.500 0.500
Te: 0.250 0.250 0.250
Te: 0.750 0.750 0.750

---

Compound: Mg2BiTe2
Source: Alexandria via LeMat-Bulk
Functional: PBE
Structure: relaxed

Properties
* offset from the most stable computed form: 86 meV/atom
* raw formation energy: -0.1850 eV/atom
* E: -14.3 eV per cell

Lattice parameters (Å, degrees): 7.988 7.988 7.988 145.51 145.51 49.58
Fractional coordinates of all 5 atoms:
Mg: 0.250 0.750 0.500
Mg: 0.750 0.250 0.500
Bi: 0.000 0.000 0.000
Te: 0.362 0.362 0.000
Te: 0.638 0.638 0.000

---

Compound: MgBi2Te4
Source: Alexandria via LeMat-Bulk
Functional: PBE
Structure: relaxed

Properties
* raw formation energy: -0.4041 eV/atom
* E: -24.8 eV per cell

Lattice parameters (Å, degrees): 14.807 14.807 14.807 17.04 17.04 17.04
Fractional coordinates of all 7 atoms:
Mg: 0.000 0.000 0.000
Bi: 0.248 0.248 0.248
Bi: 0.752 0.752 0.752
Te: 0.125 0.125 0.125
Te: 0.370 0.370 0.370
Te: 0.630 0.630 0.630
Te: 0.875 0.875 0.875

---

- The highest raw formation energy belongs to which entry?
  MgBiTe2

---

- raw formation energy of number 2 (MgBiTe2)?
  -0.1050 eV/atom

---

- The highest E belongs to which entry?
  MgBiTe2